{
  "formula": "BeBiPd2",
  "functional": "PBE",
  "state": "optimized geometry",
  "final_energy_ev_per_atom": -4.75,
  "e_above_lowest_polymorph_mev_per_atom": 0,
  "sg": "P4/mmm, No. 123",
  "formation_enthalpy_0k_ev_per_atom": -0.2501,
  "lattice": [[3.0396, 0.0000, 0.0000], [0.0000, 3.0396, 0.0000], [0.0000, 0.0000, 7.2334]],
  "species": ["Be", "Bi", "Pd", "Pd"],
  "fractional_positions": [[0.0000, 0.0000, 0.0000], [0.0000, 0.0000, 0.5000], [0.5000, 0.5000, 0.1852], [0.5000, 0.5000, 0.8148]]
}

{
  "formula": "BeBiPd4",
  "functional": "PBE",
  "state": "optimized geometry",
  "final_energy_ev_per_atom": -4.97,
  "sg": "P2_1/c, No. 14",
  "formation_enthalpy_0k_ev_per_atom": -0.2361,
  "lattice": [[7.7436, 0.0000, 0.0000], [0.0000, 5.4662, 0.0000], [-0.6783, 0.0000, 4.7221]],
  "species": ["Be", "Be", "Bi", "Bi", "Pd", "Pd", "Pd", "Pd", "Pd", "Pd", "Pd", "Pd"],
  "fractional_positions": [[0.0000, 0.0000, 0.0000], [0.0000, 0.5000, 0.5000], [0.5000, 0.0000, 0.5000], [0.5000, 0.5000, 0.0000], [0.1390, 0.1192, 0.4319], [0.1390, 0.3808, 0.9319], [0.2809, 0.5934, 0.4561], [0.2809, 0.9066, 0.9561], [0.7191, 0.0934, 0.0439], [0.7191, 0.4066, 0.5439], [0.8610, 0.6192, 0.0681], [0.8610, 0.8808, 0.5681]]
}

{
  "formula": "Be2BiPd2",
  "functional": "PBE",
  "state": "optimized geometry",
  "final_energy_ev_per_atom": -4.52,
  "e_above_lowest_polymorph_mev_per_atom": 0,
  "sg": "P4/mbm, No. 127",
  "formation_enthalpy_0k_ev_per_atom": -0.1785,
  "lattice": [[6.9915, 0.0000, 0.0000], [0.0000, 6.9915, 0.0000], [0.0000, 0.0000, 3.1137]],
  "species": ["Be", "Be", "Be", "Be", "Bi", "Bi", "Pd", "Pd", "Pd", "Pd"],
  "fractional_positions": [[0.1140, 0.3860, 0.0000], [0.3860, 0.8860, 0.0000], [0.6140, 0.1140, 0.0000], [0.8860, 0.6140, 0.0000], [0.0000, 0.0000, 0.0000], [0.5000, 0.5000, 0.0000], [0.1487, 0.6487, 0.5000], [0.3513, 0.1487, 0.5000], [0.6487, 0.8513, 0.5000], [0.8513, 0.3513, 0.5000]]
}

{
  "formula": "BeBiPd2",
  "functional": "PBE",
  "state": "optimized geometry",
  "final_energy_ev_per_atom": -4.56,
  "e_above_lowest_polymorph_mev_per_atom": 192,
  "sg": "Fm-3m, No. 225",
  "formation_enthalpy_0k_ev_per_atom": -0.0583,
  "lattice": [[0.0000, 3.2311, 3.2311], [3.2311, 0.0000, 3.2311], [3.2311, 3.2311, 0.0000]],
  "species": ["Be", "Bi", "Pd", "Pd"],
  "fractional_positions": [[0.0000, 0.0000, 0.0000], [0.5000, 0.5000, 0.5000], [0.2500, 0.2500, 0.2500], [0.7500, 0.7500, 0.7500]]
}

Please write out number 3 again, unchanged.
{
  "formula": "Be2BiPd2",
  "functional": "PBE",
  "state": "optimized geometry",
  "final_energy_ev_per_atom": -4.52,
  "e_above_lowest_polymorph_mev_per_atom": 0,
  "sg": "P4/mbm, No. 127",
  "formation_enthalpy_0k_ev_per_atom": -0.1785,
  "lattice": [[6.9915, 0.0000, 0.0000], [0.0000, 6.9915, 0.0000], [0.0000, 0.0000, 3.1137]],
  "species": ["Be", "Be", "Be", "Be", "Bi", "Bi", "Pd", "Pd", "Pd", "Pd"],
  "fractional_positions": [[0.1140, 0.3860, 0.0000], [0.3860, 0.8860, 0.0000], [0.6140, 0.1140, 0.0000], [0.8860, 0.6140, 0.0000], [0.0000, 0.0000, 0.0000], [0.5000, 0.5000, 0.0000], [0.1487, 0.6487, 0.5000], [0.3513, 0.1487, 0.5000], [0.6487, 0.8513, 0.5000], [0.8513, 0.3513, 0.5000]]
}